Computed, not measured: crystalline ZnFeAs2 at its relaxed geometry at the PBE-GGA level of DFT.

Computed properties:
Theoretical density (g cm⁻³): 6.924
Space-group type: P4/mmm, No. 123
Crystal system: tetragonal

Geometry as POSCAR:
```
ZnFeAs2
1.0
2.921 0.000 0.000
0.000 2.921 0.000
0.000 0.000 7.617
Zn Fe As
1 1 2
direct
0.000 0.000 0.000
0.000 0.000 0.500
0.500 0.500 0.309
0.500 0.500 0.691
```

Computed, not measured: crystalline ZnFeAs2 at its relaxed geometry at the PBE-GGA level of DFT.

Computed properties:
Theoretical density (g cm⁻³): 6.494
Space-group type: Pmm2, No. 25
Crystal system: orthorhombic

Geometry as POSCAR:
```
ZnFeAs2
1.0
2.809 0.000 0.000
0.000 3.574 0.000
0.000 0.000 6.905
Zn Fe As
1 1 2
direct
0.000 0.000 0.000
0.500 0.500 0.796
0.000 0.000 0.623
0.500 0.500 0.196
```

Computed, not measured: crystalline ZnFeAs at its relaxed geometry at the PBE-GGA level of DFT.

Computed properties:
Offset from the most stable computed form (meV per atom): 49.3
Theoretical density (g cm⁻³): 7.137
Space-group type: I4mm, No. 107
Crystal system: tetragonal

Geometry as POSCAR:
```
ZnFeAs
1.0
-1.426 1.426 5.614
1.426 -1.426 5.614
1.426 1.426 -5.614
Zn Fe As
1 1 1
direct
0.000 0.000 0.000
0.358 0.358 0.000
0.739 0.739 0.000
```

Computed, not measured: crystalline ZrFeAs at its relaxed geometry at the PBE-GGA level of DFT.

Computed properties:
Theoretical density (g cm⁻³): 8.004
Space-group type: Pnma, No. 62
Crystal system: orthorhombic

Geometry as POSCAR:
```
ZrFeAs
1.0
6.495 0.000 0.000
0.000 3.919 0.000
0.000 0.000 7.239
Zr Fe As
4 4 4
direct
0.014 0.250 0.189
0.486 0.750 0.689
0.514 0.250 0.311
0.986 0.750 0.811
0.146 0.250 0.563
0.354 0.750 0.063
0.646 0.250 0.937
0.854 0.750 0.437
0.221 0.750 0.387
0.279 0.250 0.887
0.721 0.750 0.113
0.779 0.250 0.613
```

Computed, not measured: crystalline ZrFe2As at its relaxed geometry at the PBE-GGA level of DFT.

Computed properties:
Theoretical density (g cm⁻³): 7.110
Space-group type: P2/m, No. 10
Crystal system: monoclinic

Geometry as POSCAR:
```
ZrFe2As
1.0
3.269 0.000 0.000
0.000 4.001 0.000
-0.024 0.000 4.962
Zr Fe As
1 2 1
direct
0.000 0.000 0.000
0.499 0.500 0.766
0.501 0.500 0.234
0.500 0.000 0.500
```

Computed, not measured: crystalline Zr3FeAs at its relaxed geometry at the PBE-GGA level of DFT.

Computed properties:
Offset from the most stable computed form (meV per atom): 0.0
Theoretical density (g cm⁻³): 6.162
Space-group type: Pm-3m, No. 221
Crystal system: cubic

Geometry as POSCAR:
```
Zr3FeAs
1.0
4.777 0.000 0.000
0.000 4.777 0.000
0.000 0.000 4.777
Zr Fe As
3 1 1
direct
0.000 0.000 0.500
0.000 0.500 0.000
0.500 0.000 0.000
0.000 0.000 0.000
0.500 0.500 0.500
```

Computed, not measured: crystalline ZrFeAs at its relaxed geometry at the PBE-GGA level of DFT.

Computed properties:
Theoretical density (g cm⁻³): 7.725
Space-group type: I4mm, No. 107
Crystal system: tetragonal

Geometry as POSCAR:
```
ZrFeAs
1.0
-1.551 1.551 4.957
1.551 -1.551 4.957
1.551 1.551 -4.957
Zr Fe As
1 1 1
direct
0.000 0.000 0.000
0.683 0.683 0.000
0.295 0.295 0.000
```

Computed, not measured: crystalline ZrFeAs at its relaxed geometry at the PBE-GGA level of DFT.

Computed properties:
Theoretical density (g cm⁻³): 7.607
Space-group type: P-6m2, No. 187
Crystal system: hexagonal

Geometry as POSCAR:
```
ZrFeAs
1.0
4.050 0.000 0.000
-2.025 3.507 0.000
0.000 0.000 3.412
Zr Fe As
1 1 1
direct
0.000 0.000 0.000
0.667 0.333 0.500
0.333 0.667 0.500
```

Computed, not measured: crystalline ZrFeAs2 at its relaxed geometry at the PBE-GGA level of DFT.

Computed properties:
Theoretical density (g cm⁻³): 6.704
Space-group type: Pm, No. 6
Crystal system: monoclinic

Geometry as POSCAR:
```
ZrFeAs2
1.0
3.420 0.000 0.000
0.000 4.282 0.000
-1.666 0.000 5.022
Zr Fe As
1 1 2
direct
0.000 0.000 0.000
0.374 0.500 0.698
0.277 0.000 0.555
0.587 0.500 0.168
```

Computed, not measured: crystalline ZrFe2As at its relaxed geometry at the PBE-GGA level of DFT.

Computed properties:
Theoretical density (g cm⁻³): 7.486
Space-group type: R3m, No. 160
Crystal system: trigonal

Geometry as POSCAR:
```
ZrFe2As
1.0
1.963 1.133 4.618
-1.963 1.133 4.618
0.000 -2.266 4.618
Zr Fe As
1 2 1
direct
0.000 0.000 0.000
0.486 0.486 0.486
0.790 0.790 0.790
0.211 0.211 0.211
```

Computed, not measured: crystalline ZrFe3As at its relaxed geometry at the PBE-GGA level of DFT.

Computed properties:
Offset from the most stable computed form (meV per atom): 0.0
Theoretical density (g cm⁻³): 6.658
Space-group type: Pm-3m, No. 221
Crystal system: cubic

Geometry as POSCAR:
```
ZrFe3As
1.0
4.366 0.000 0.000
0.000 4.366 0.000
0.000 0.000 4.366
Zr Fe As
1 3 1
direct
0.000 0.000 0.000
0.000 0.500 0.500
0.500 0.000 0.500
0.500 0.500 0.000
0.500 0.500 0.500
```

Computed, not measured: crystalline ZrFe3As at its relaxed geometry at the PBE-GGA level of DFT.

Computed properties:
Offset from the most stable computed form (meV per atom): 1183.2
Theoretical density (g cm⁻³): 5.617
Space-group type: Pm-3m, No. 221
Crystal system: cubic

Geometry as POSCAR:
```
ZrFe3As
1.0
4.621 0.000 0.000
0.000 4.621 0.000
0.000 0.000 4.621
Zr Fe As
1 3 1
direct
0.000 0.000 0.000
0.000 0.000 0.500
0.000 0.500 0.000
0.500 0.000 0.000
0.500 0.500 0.500
```

Computed, not measured: crystalline ZrFeAs2 at its relaxed geometry at the PBE-GGA level of DFT.

Computed properties:
Theoretical density (g cm⁻³): 7.400
Space-group type: Cmmm, No. 65
Crystal system: orthorhombic

Geometry as POSCAR:
```
ZrFeAs2
1.0
1.969 -2.555 0.000
1.969 2.555 0.000
0.000 0.000 6.621
Zr Fe As
1 1 2
direct
0.000 0.000 0.000
0.000 0.000 0.500
0.500 0.500 0.284
0.500 0.500 0.716
```

Computed, not measured: crystalline ZrFeAs2 at its relaxed geometry at the PBE-GGA level of DFT.

Computed properties:
Theoretical density (g cm⁻³): 7.391
Space-group type: C2/m, No. 12
Crystal system: monoclinic

Geometry as POSCAR:
```
ZrFeAs2
1.0
3.279 -1.899 0.000
3.279 1.899 0.000
-2.195 0.000 5.355
Zr Fe As
1 1 2
direct
0.000 0.000 0.000
0.500 0.500 0.500
0.232 0.232 0.696
0.768 0.768 0.304
```

Computed, not measured: crystalline Zr4FeAs at its relaxed geometry at the PBE-GGA level of DFT.

Computed properties:
Theoretical density (g cm⁻³): 6.448
Space-group type: F-43m, No. 216
Crystal system: cubic

Geometry as POSCAR:
```
Zr4FeAs
1.0
0.000 3.996 3.996
3.996 0.000 3.996
3.996 3.996 0.000
Zr Fe As
4 1 1
direct
0.376 0.376 0.376
0.376 0.376 0.872
0.376 0.872 0.376
0.872 0.376 0.376
0.750 0.750 0.750
0.000 0.000 0.000
```

Computed, not measured: crystalline ZrFeAs2 at its relaxed geometry at the PBE-GGA level of DFT.

Computed properties:
Theoretical density (g cm⁻³): 7.313
Space-group type: Fm-3m, No. 225
Crystal system: cubic

Geometry as POSCAR:
```
ZrFeAs2
1.0
0.000 3.230 3.230
3.230 0.000 3.230
3.230 3.230 0.000
Zr Fe As
1 1 2
direct
0.000 0.000 0.000
0.500 0.500 0.500
0.250 0.250 0.250
0.750 0.750 0.750
```

Computed, not measured: crystalline ZrFeAs2 at its relaxed geometry at the PBE-GGA level of DFT.

Computed properties:
Theoretical density (g cm⁻³): 7.217
Space-group type: P4/mmm, No. 123
Crystal system: tetragonal

Geometry as POSCAR:
```
ZrFeAs2
1.0
3.410 0.000 0.000
0.000 3.410 0.000
0.000 0.000 5.874
Zr Fe As
1 1 2
direct
0.000 0.000 0.000
0.000 0.000 0.500
0.500 0.500 0.265
0.500 0.500 0.735
```

Computed, not measured: crystalline ZrFeAs2 at its relaxed geometry at the PBE-GGA level of DFT.

Computed properties:
Theoretical density (g cm⁻³): 7.040
Space-group type: P2/m, No. 10
Crystal system: monoclinic

Geometry as POSCAR:
```
ZrFeAs2
1.0
3.392 0.000 0.000
0.000 3.832 0.000
-0.042 0.000 5.387
Zr Fe As
1 1 2
direct
0.000 0.000 0.000
0.500 0.000 0.500
0.494 0.500 0.752
0.506 0.500 0.248
```

Computed, not measured: crystalline ZrFe2As at its relaxed geometry at the PBE-GGA level of DFT.

Computed properties:
Theoretical density (g cm⁻³): 7.589
Space-group type: C2/m, No. 12
Crystal system: monoclinic

Geometry as POSCAR:
```
ZrFe2As
1.0
4.370 -1.680 0.000
4.370 1.680 0.000
-1.278 0.000 4.140
Zr Fe As
1 2 1
direct
0.000 0.000 0.000
0.238 0.238 0.712
0.762 0.762 0.288
0.500 0.500 0.500
```

Computed, not measured: crystalline ZrFeAs2 at its relaxed geometry at the PBE-GGA level of DFT.

Computed properties:
Theoretical density (g cm⁻³): 6.541
Space-group type: P4mm, No. 99
Crystal system: tetragonal

Geometry as POSCAR:
```
ZrFeAs2
1.0
3.001 0.000 0.000
0.000 3.001 0.000
0.000 0.000 8.368
Zr Fe As
1 1 2
direct
0.000 0.000 0.000
0.500 0.500 0.780
0.000 0.000 0.638
0.500 0.500 0.247
```

Which formation energy belongs to each record? In order, 0.084 0.143 0.079 -0.764 -0.148 0.040 -0.301 -0.577 -0.317 -0.295 0.373 1.557 -0.286 -0.455 0.524 -0.277 -0.234 -0.365 -0.166 -0.238 eV per atom.
Which energy belongs to each record? In order, -4.675 -4.616 -4.717 -7.984 -7.679 -7.711 -7.522 -7.797 -6.894 -7.826 -7.344 -6.161 -6.863 -7.032 -7.360 -6.855 -6.812 -6.942 -7.697 -6.816 eV/atom.